Density functional theory data (PBE-GGA) for an optimized crystal structure of Cs3Na2PmI9.

## Properties
space group = P-3m1, No. 164
final energy = -43.2 eV for the cell shown
formation energy (no corrections) = -1.29 eV/atom
DOS at the Fermi energy = 17.3 states/eV/cell

CIF file:
```
data_Cs3Na2PmI9
_chemical_formula_sum 'Cs3 Na2 Pm1 I9'
_space_group_name_H-M_alt 'P 1'
_space_group_IT_number 1
_cell_length_a 8.6980
_cell_length_b 8.6980
_cell_length_c 11.1361
_cell_angle_alpha 90.00
_cell_angle_beta 90.00
_cell_angle_gamma 120.00
loop_
_space_group_symop_operation_xyz
'x,y,z'
loop_
_atom_site_label
_atom_site_fract_x
_atom_site_fract_y
_atom_site_fract_z
_atom_site_occupancy
Cs1 0.0000 0.0000 0.0000 1
Cs2 0.3333 0.6667 0.6804 1
Cs3 0.6667 0.3333 0.3196 1
Na1 0.3333 0.6667 0.1650 1
Na2 0.6667 0.3333 0.8350 1
Pm1 0.0000 0.0000 0.5000 1
I1 0.0000 0.5000 0.0000 1
I2 0.1662 0.3323 0.3385 1
I3 0.1662 0.8338 0.3385 1
I4 0.3323 0.1662 0.6615 1
I5 0.5000 0.0000 0.0000 1
I6 0.5000 0.5000 0.0000 1
I7 0.6677 0.8338 0.3385 1
I8 0.8338 0.1662 0.6615 1
I9 0.8338 0.6677 0.6615 1
```